Record 1
# BaCoOsBr2 | Alexandria via LeMat-Bulk | PBE | relaxed
# D(E_F)   5.1 states/eV per cell
# DFT total energy   -3.878 eV per atom
# Space group   No. 123
# ρ   5.6 g/cm3
data_BaCoOsBr2
_symmetry_space_group_name_H-M 'P 1'
_symmetry_Int_Tables_number 1
_cell_length_a 5.003
_cell_length_b 6.481
_cell_length_c 5.003
_cell_angle_alpha 90.00
_cell_angle_beta 90.00
_cell_angle_gamma 90.00
loop_
_symmetry_equiv_pos_as_xyz
'x,y,z'
loop_
_atom_site_label
_atom_site_fract_x
_atom_site_fract_y
_atom_site_fract_z
Co1 0.500 0.500 0.500
Os1 0.000 0.000 0.000
Ba1 0.000 0.500 0.000
Br1 0.000 0.000 0.500
Br2 0.500 0.000 0.000



Record 2
# BaCoPb2Br8 | Alexandria via LeMat-Bulk | PBE | relaxed
# D(E_F)   0.8 states/eV per cell
# DFT total energy   -3.488 eV per atom
# Space group   No. 10
# ρ   4.8 g/cm3
data_BaCoPb2Br8
_symmetry_space_group_name_H-M 'P 1'
_symmetry_Int_Tables_number 1
_cell_length_a 7.059
_cell_length_b 6.732
_cell_length_c 9.074
_cell_angle_alpha 89.99
_cell_angle_beta 90.00
_cell_angle_gamma 88.65
loop_
_symmetry_equiv_pos_as_xyz
'x,y,z'
loop_
_atom_site_label
_atom_site_fract_x
_atom_site_fract_y
_atom_site_fract_z
Ba1 0.000 0.000 0.500
Co1 0.000 0.000 0.000
Pb1 0.500 0.500 0.773
Pb2 0.500 0.500 0.227
Br1 0.149 0.777 0.204
Br2 0.687 0.769 0.000
Br3 0.851 0.223 0.204
Br4 0.851 0.223 0.796
Br5 0.313 0.231 0.000
Br6 0.149 0.777 0.796
Br7 0.635 0.729 0.500
Br8 0.365 0.271 0.500



Record 3
# BaCoPtBr2 | Alexandria via LeMat-Bulk | PBE | relaxed
# D(E_F)   37.1 states/eV per cell
# DFT total energy   -3.064 eV per atom
# Space group   No. 123
# ρ   4.2 g/cm3
data_BaCoPtBr2
_symmetry_space_group_name_H-M 'P 1'
_symmetry_Int_Tables_number 1
_cell_length_a 6.171
_cell_length_b 5.763
_cell_length_c 6.171
_cell_angle_alpha 90.00
_cell_angle_beta 90.00
_cell_angle_gamma 90.00
loop_
_symmetry_equiv_pos_as_xyz
'x,y,z'
loop_
_atom_site_label
_atom_site_fract_x
_atom_site_fract_y
_atom_site_fract_z
Br1 0.000 0.000 0.500
Br2 0.500 0.000 0.000
Co1 0.500 0.500 0.500
Ba1 0.000 0.000 0.000
Pt1 0.000 0.500 0.000



Record 4
# Ba2CoSBr | Alexandria via LeMat-Bulk | PBE | relaxed
# D(E_F)   3.3 states/eV per cell
# DFT total energy   -4.375 eV per atom
# Space group   No. 123
# ρ   5.0 g/cm3
data_Ba2CoSBr
_symmetry_space_group_name_H-M 'P 1'
_symmetry_Int_Tables_number 1
_cell_length_a 5.951
_cell_length_b 4.182
_cell_length_c 5.951
_cell_angle_alpha 90.00
_cell_angle_beta 90.00
_cell_angle_gamma 90.00
loop_
_symmetry_equiv_pos_as_xyz
'x,y,z'
loop_
_atom_site_label
_atom_site_fract_x
_atom_site_fract_y
_atom_site_fract_z
S1 0.000 0.500 0.000
Co1 0.000 0.000 0.000
Ba1 0.000 0.000 0.500
Ba2 0.500 0.000 0.000
Br1 0.500 0.500 0.500